The following is a SCAN calculation of a PBEsol-optimized structure of Be2Au, from Alexandria.

total moment = 0.00 μB/f.u.
energy of formation from the pure elements = -302 meV per atom
symmetry = Cmcm (63)
Fermi-level density of states = 1.05 states/eV/cell

Unit cell a=5.8682 b=5.8682 c=3.4747 alpha=90.00 beta=90.00 gamma=145.82
With the nearest neighbours (Å) after each atom.
Atoms (fractional coordinates):
Be (0.0754, 0.9246, 0.7500)  6 Be 2.42-2.62, 6 Au 2.47-2.64
Be (0.2490, 0.7510, 0.2500)  4 Au 2.38-2.41, 8 Be 2.45-2.62
Be (0.7510, 0.2490, 0.7500)  4 Au 2.38-2.41, 8 Be 2.45-2.62
Be (0.9246, 0.0754, 0.2500)  6 Be 2.42-2.62, 6 Au 2.47-2.64
Au (0.3973, 0.6027, 0.7500)  10 Be 2.38-2.64
Au (0.6027, 0.3973, 0.2500)  10 Be 2.38-2.64